Record 1
NaPt2O3 | PBE | optimized geometry

POSCAR file:
```
NaPt2O3
1.0
0.4829 -5.7895 2.4689
4.1181 -4.1286 -2.4172
5.2660 -1.5571 3.3886
Na Pt O
2 4 6
direct
0.8202 0.8202 0.5394
0.1798 0.1798 0.4606
0.0000 0.0000 0.0000
0.0000 0.5000 0.0000
0.5000 0.5000 0.0000
0.5000 0.0000 0.0000
0.2734 0.7720 0.1827
0.7720 0.2734 0.1827
0.7720 0.7720 0.1827
0.2280 0.7266 0.8173
0.7266 0.2280 0.8173
0.2280 0.2280 0.8173
```

Properties
**Total energy**: -5.3781 eV/atom
**SG**: No. 166

Record 2
TlCuP3 | PBE | optimized geometry

POSCAR file:
```
TlCuP3
1.0
4.6356 0.0000 0.0000
0.0000 4.6356 0.0000
0.0000 0.0000 4.6356
P Tl Cu
3 1 1
direct
0.0000 0.5000 0.0000
0.0000 0.0000 0.5000
0.5000 0.0000 0.0000
0.5000 0.5000 0.5000
0.0000 0.0000 0.0000
```

Properties
**Total energy**: -3.7627 eV/atom
**Relative energy among the computed polymorphs**: 0.0 kJ/mol of formula units
**SG**: No. 221